Record 1
# Li2CuP

A geometry-optimized Li2CuP structure (GGA-PBEsol, the Alexandria database).

Lattice parameters (Å, degrees): 2.6653 4.2232 4.7191 96.36 90.00 108.39
Sites, in units of the cell vectors:
1 P 0.4955 0.9910 0.4842
2 Cu 0.7591 0.5182 0.2727
3 Li 0.2385 0.4769 0.7333
4 Li 0.0069 0.0138 0.0097

Summary:
DFT formation energy = -0.27 eV per atom
calculated volume = 50 Å³/cell

=====

Record 2
# BaZnF2

A geometry-optimized BaZnF2 structure (GGA-PBEsol, the Alexandria database).

Lattice parameters (Å, degrees): 3.8799 3.8799 6.8740 73.61 73.61 60.00
Sites, in units of the cell vectors:
1 F 0.8724 0.8724 0.3829
2 F 0.1276 0.1276 0.6171
3 Zn 0.5000 0.5000 0.5000
4 Ba 0.0000 0.0000 0.0000

Summary:
calculated total energy = -3.52 eV/atom
calculated volume = 85 Å³/cell

=====

Record 3
# CdTeMo

A geometry-optimized CdTeMo structure (GGA-PBEsol, the Alexandria database).

Lattice parameters (Å, degrees): 4.5361 4.5361 4.5361 60.00 60.00 60.00
Sites, in units of the cell vectors:
1 Te 0.0000 0.0000 0.0000
2 Mo 0.2500 0.2500 0.2500
3 Cd 0.5000 0.5000 0.5000

Summary:
distance to the lowest polymorph of the same formula = 36.1 kJ/mol of atoms
calculated volume = 66 Å³/cell

=====

Record 4
# ReHgW

A geometry-optimized ReHgW structure (GGA-PBEsol, the Alexandria database).

Lattice parameters (Å, degrees): 4.3241 4.3241 4.3241 60.00 60.00 60.00
Sites, in units of the cell vectors:
1 Hg 0.2500 0.2500 0.2500
2 Re 0.0000 0.0000 0.0000
3 W 0.5000 0.5000 0.5000

Summary:
distance to the lowest polymorph of the same formula = 126.7 kJ/mol of atoms
DFT formation energy = 1.93 eV per atom
calculated volume = 57 Å³/cell